Entry 1
{
  "formula": "InCu2S",
  "functional": "GGA-PBE",
  "state": "optimized geometry",
  "spacegroup": "Fm-3m (225)",
  "cell": [[-3.6555, -2.4621, 1.2338], [-0.5015, -1.3291, 4.3507], [-3.2545, 1.8850, 2.6080]],
  "species": ["S", "Cu", "Cu", "In"],
  "fractional_positions": [[0.0000, 0.0000, 0.0000], [0.2500, 0.2500, 0.2500], [0.7500, 0.7500, 0.7500], [0.5000, 0.5000, 0.5000]]
}


Entry 2
{
  "formula": "InCu2S",
  "functional": "GGA-PBE",
  "state": "optimized geometry",
  "spacegroup": "I-42d (122)",
  "cell": [[5.9377, 0.0000, 0.0000], [0.0000, 5.9377, 0.0000], [2.9688, 2.9688, 4.9060]],
  "species": ["S", "S", "Cu", "Cu", "Cu", "Cu", "In", "In"],
  "fractional_positions": [[0.5000, 0.5000, 0.0000], [0.2500, 0.7500, 0.5000], [0.5511, 0.1250, 0.2500], [0.1989, 0.6250, 0.2500], [0.3750, 0.4489, 0.7500], [0.8750, 0.8011, 0.7500], [0.0000, 0.0000, 0.0000], [0.7500, 0.2500, 0.5000]]
}


Q: Which of them is the least stable? A: entry 1.


Entry 1
{
  "formula": "InCuSeS",
  "functional": "GGA-PBE",
  "state": "optimized geometry",
  "spacegroup": "R3m (160)",
  "cell": [[4.0814, -0.0024, -0.0086], [-2.0387, 3.5358, 0.0086], [-2.0236, -1.1873, 6.5979]],
  "species": ["In", "Cu", "Se", "S"],
  "fractional_positions": [[0.2160, 0.4927, 0.7087], [0.1996, 0.9834, 0.1830], [0.4761, 0.6216, 0.0977], [0.4374, 0.1031, 0.5404]]
}


Entry 2
{
  "formula": "InCuSeS",
  "functional": "GGA-PBE",
  "state": "optimized geometry",
  "spacegroup": "I2_12_12_1 (24)",
  "cell": [[-5.1929, 4.4753, -1.6322], [-4.4096, -2.9954, -4.6088], [2.5913, -2.1848, 6.1782]],
  "species": ["In", "In", "Cu", "Cu", "Se", "Se", "S", "S"],
  "fractional_positions": [[0.3775, 0.6275, 0.7500], [0.1225, 0.8725, 0.2500], [0.8898, 0.1398, 0.7500], [0.6102, 0.3602, 0.2500], [0.5380, 0.7500, 0.2880], [0.9620, 0.2500, 0.2120], [0.2500, 0.0243, 0.7743], [0.7500, 0.4757, 0.7257]]
}


Q: Which of them is the least stable? A: entry 1.


Entry 1
{
  "formula": "In2CuSb2",
  "functional": "GGA-PBE",
  "state": "optimized geometry",
  "spacegroup": "P4/mbm (127)",
  "cell": [[-5.0721, 4.4927, 1.3591], [-4.6557, -5.0699, -0.6155], [0.4853, -1.1117, 5.4862]],
  "species": ["Sb", "Sb", "Sb", "Sb", "Cu", "Cu", "In", "In", "In", "In"],
  "fractional_positions": [[0.3495, 0.8495, 0.0000], [0.8495, 0.6505, 0.0000], [0.6505, 0.1505, 0.0000], [0.1505, 0.3495, 0.0000], [0.0000, 0.0000, 0.0000], [0.5000, 0.5000, 0.0000], [0.1776, 0.6776, 0.5000], [0.6776, 0.8224, 0.5000], [0.8224, 0.3224, 0.5000], [0.3224, 0.1776, 0.5000]]
}


Entry 2
{
  "formula": "In2CuSb2",
  "functional": "GGA-PBE",
  "state": "optimized geometry",
  "spacegroup": "P4/mbm (127)",
  "cell": [[7.1248, 0.0000, 0.0000], [0.0000, 7.1248, 0.0000], [0.0000, 0.0000, 5.1208]],
  "species": ["Sb", "Sb", "Sb", "Sb", "Cu", "Cu", "In", "In", "In", "In"],
  "fractional_positions": [[0.1443, 0.6443, 0.5000], [0.6443, 0.8557, 0.5000], [0.8557, 0.3557, 0.5000], [0.3557, 0.1443, 0.5000], [0.0000, 0.0000, 0.0000], [0.5000, 0.5000, 0.0000], [0.3348, 0.8348, 0.0000], [0.8348, 0.6652, 0.0000], [0.6652, 0.1652, 0.0000], [0.1652, 0.3348, 0.0000]]
}


Q: Which of them is the least stable? A: entry 2.